# TcAs2W | Alexandria | PBE | optimized geometry
data_TcAs2W
_symmetry_space_group_name_H-M 'P 4/m m m'
_symmetry_Int_Tables_number 123
_symmetry_space_group_name_Hall '-P 4 2'
_cell_length_a 4.389
_cell_length_b 4.389
_cell_length_c 3.105
_cell_angle_alpha 90.00
_cell_angle_beta 90.00
_cell_angle_gamma 90.00
loop_
_atom_site_label
_atom_site_fract_x
_atom_site_fract_y
_atom_site_fract_z
Tc1 0.000 0.000 0.000
As1 0.000 0.500 0.500
W1 0.500 0.500 0.000
# - Energy above the most stable polymorph in this dataset: 0.0648 eV/atom
# - Energy of formation from the pure elements: 96 meV/atom
# - Spin magnetization: 0.00 μB/f.u.
# - Total energy: -8.059 eV per atom

---

# Mg3GaPt3 | Alexandria | PBE | optimized geometry
data_Mg3GaPt3
_symmetry_space_group_name_H-M 'C 1 2/m 1'
_symmetry_Int_Tables_number 12
_cell_length_a 6.391
_cell_length_b 9.093
_cell_length_c 8.370
_cell_angle_alpha 90.00
_cell_angle_beta 91.79
_cell_angle_gamma 90.00
loop_
_symmetry_equiv_pos_as_xyz
'x,y,z'
'-x,-y,-z'
'-x,y,-z'
'x,-y,z'
'x+1/2,y+1/2,z'
'-x+1/2,-y+1/2,-z'
'-x+1/2,y+1/2,-z'
'x+1/2,-y+1/2,z'
loop_
_atom_site_label
_atom_site_fract_x
_atom_site_fract_y
_atom_site_fract_z
Mg1 0.000 0.171 0.000
Mg2 0.000 0.231 0.500
Mg3 0.066 0.500 0.812
Ga1 0.211 0.500 0.460
Pt1 0.034 0.000 0.276
Pt2 0.234 0.279 0.246
# - Energy above the most stable polymorph in this dataset: 0.0830 eV/atom
# - Energy of formation from the pure elements: -647 meV/atom
# - Spin magnetization: 0.00 μB/f.u.
# - Total energy: -4.352 eV per atom

---

# Na13Tl2 | Alexandria | PBE | optimized geometry
data_Na13Tl2
_symmetry_space_group_name_H-M 'P -1'
_symmetry_Int_Tables_number 2
_cell_length_a 6.912
_cell_length_b 8.854
_cell_length_c 9.103
_cell_angle_alpha 66.94
_cell_angle_beta 80.61
_cell_angle_gamma 83.04
loop_
_symmetry_equiv_pos_as_xyz
'x,y,z'
'-x,-y,-z'
loop_
_atom_site_label
_atom_site_fract_x
_atom_site_fract_y
_atom_site_fract_z
Na1 0.000 0.000 0.000
Na2 0.132 0.481 0.759
Na3 0.201 0.201 0.192
Na4 0.254 0.930 0.590
Na5 0.320 0.663 0.004
Na6 0.356 0.410 0.408
Na7 0.471 0.138 0.790
Tl1 0.068 0.759 0.381
# - Energy above the most stable polymorph in this dataset: 0.0000 eV/atom
# - Energy of formation from the pure elements: -33 meV/atom
# - Spin magnetization: 0.00 μB/f.u.
# - Total energy: -1.492 eV per atom

---

# NaMoH2 | Alexandria | PBE | optimized geometry
data_NaMoH2
_symmetry_space_group_name_H-M 'R -3 m'
_symmetry_Int_Tables_number 166
_symmetry_space_group_name_Hall '-R 3 2"'
_cell_length_a 2.9538
_cell_length_b 2.9538
_cell_length_c 16.4281
_cell_angle_alpha 90.00
_cell_angle_beta 90.00
_cell_angle_gamma 120.00
loop_
_atom_site_label
_atom_site_fract_x
_atom_site_fract_y
_atom_site_fract_z
Na1 0.0000 0.0000 0.0000
Mo1 0.0000 0.0000 0.5000
H1 0.0000 0.0000 0.2262
# - Energy above the most stable polymorph in this dataset: 0.0000 eV/atom
# - Spin magnetization: 0.00 μB/f.u.
# - Total energy: -4.612 eV per atom

---

# TbNd3Tm6 | Alexandria | PBE | optimized geometry
data_TbNd3Tm6
_symmetry_space_group_name_H-M 'P -1'
_symmetry_Int_Tables_number 2
_cell_length_a 6.488
_cell_length_b 6.499
_cell_length_c 9.468
_cell_angle_alpha 90.03
_cell_angle_beta 109.34
_cell_angle_gamma 119.58
loop_
_symmetry_equiv_pos_as_xyz
'x,y,z'
'-x,-y,-z'
loop_
_atom_site_label
_atom_site_fract_x
_atom_site_fract_y
_atom_site_fract_z
Tb1 0.000 0.000 0.000
Nd1 0.000 0.500 0.500
Nd2 0.298 0.944 0.809
Tm1 0.127 0.633 0.185
Tm2 0.307 0.152 0.449
Tm3 0.448 0.511 0.814
# - Energy above the most stable polymorph in this dataset: 0.1026 eV/atom
# - Energy of formation from the pure elements: 171 meV/atom
# - Spin magnetization: 0.00 μB/f.u.
# - Total energy: -4.406 eV per atom

---

# InFeP2 | Alexandria | PBE | optimized geometry
data_InFeP2
_symmetry_space_group_name_H-M 'R -3 m'
_symmetry_Int_Tables_number 166
_symmetry_space_group_name_Hall '-R 3 2"'
_cell_length_a 3.0138
_cell_length_b 3.0138
_cell_length_c 26.1746
_cell_angle_alpha 90.00
_cell_angle_beta 90.00
_cell_angle_gamma 120.00
loop_
_atom_site_label
_atom_site_fract_x
_atom_site_fract_y
_atom_site_fract_z
In1 0.0000 0.0000 0.0000
Fe1 0.0000 0.0000 0.5000
P1 0.0000 0.0000 0.2248
# - Energy of formation from the pure elements: 48 meV/atom
# - Spin magnetization: 1.28 μB/f.u.
# - Total energy: -5.457 eV per atom

---

# AgSb4Te | Alexandria | PBE | optimized geometry
data_AgSb4Te
_symmetry_space_group_name_H-M 'F -4 3 m'
_symmetry_Int_Tables_number 216
_symmetry_space_group_name_Hall 'F -4 2 3'
_cell_length_a 8.830
_cell_length_b 8.830
_cell_length_c 8.830
_cell_angle_alpha 90.00
_cell_angle_beta 90.00
_cell_angle_gamma 90.00
loop_
_atom_site_label
_atom_site_fract_x
_atom_site_fract_y
_atom_site_fract_z
Ag1 0.000 0.000 0.000
Sb1 0.125 0.125 0.625
Te1 0.250 0.250 0.250
# - Formation energy without anion corrections: 424 meV per atom
# - Spin magnetization: 0.00 μB/f.u.
# - Total energy: -3.323 eV per atom

---

# Na6Bi2S | Alexandria | PBE | optimized geometry
data_Na6Bi2S
_symmetry_space_group_name_H-M 'P 1 21/c 1'
_symmetry_Int_Tables_number 14
_cell_length_a 7.351
_cell_length_b 7.349
_cell_length_c 12.471
_cell_angle_alpha 90.00
_cell_angle_beta 126.02
_cell_angle_gamma 90.00
loop_
_symmetry_equiv_pos_as_xyz
'x,y,z'
'-x,-y,-z'
'-x,y+1/2,-z+1/2'
'x,-y+1/2,z+1/2'
loop_
_atom_site_label
_atom_site_fract_x
_atom_site_fract_y
_atom_site_fract_z
Na1 0.245 0.244 0.498
Na2 0.248 0.000 0.245
Na3 0.253 0.747 0.498
Bi1 0.250 0.000 0.750
S1 0.500 0.000 0.500
# - Formation energy without anion corrections: -355 meV per atom
# - Spin magnetization: 0.00 μB/f.u.
# - Total energy: -2.555 eV per atom